# Nd2Ho3Mg GGA-PBE optimized geometry
# polymorph energy (0 for the lowest one): 251 meV/atom
# calculated formation energy: 381 meV per atom
# total moment: 0.00 μB/cell
# mass density: 6.8 g/cm³
# space group: No. 44
data_Nd2Ho3Mg
_chemical_formula_sum 'Nd2 Ho3 Mg1'
_space_group_name_H-M_alt 'P 1'
_space_group_IT_number 1
_cell_length_a 3.3192
_cell_length_b 11.7822
_cell_length_c 7.9195
_cell_angle_alpha 138.06
_cell_angle_beta 102.10
_cell_angle_gamma 90.00
loop_
_space_group_symop_operation_xyz
'x,y,z'
loop_
_atom_site_label
_atom_site_fract_x
_atom_site_fract_y
_atom_site_fract_z
Mg1 0.5000 0.2560 0.0000
Ho1 0.6644 0.6573 0.3287
Ho2 0.0000 0.0136 0.0000
Nd1 0.8290 0.5727 0.6580
Ho3 0.3356 0.3286 0.6713
Nd2 0.1710 0.9148 0.3420